# CoBi2Ir (PBE, optimized geometry)
data_CoBi2Ir
_chemical_formula_sum 'Co4 Bi8 Ir4'
_space_group_name_H-M_alt 'I -4 2 d'
_space_group_IT_number 122
_space_group_name_Hall 'I -4 2bw'
_cell_length_a 5.8033
_cell_length_b 5.8033
_cell_length_c 12.7081
_cell_angle_alpha 90.00
_cell_angle_beta 90.00
_cell_angle_gamma 90.00
loop_
_atom_site_label
_atom_site_fract_x
_atom_site_fract_y
_atom_site_fract_z
Co1 0.0000 0.0000 0.0000
Bi1 0.2301 0.2500 0.1250
Ir1 0.0000 0.0000 0.5000
# E_form (eV per atom): 0.67
# Volume (A^3/atom): 26.749
# Offset from the most stable computed form (eV per atom): 0.185
# Theoretical density (Mg/m³): 10.4
# E_tot (eV for the cell shown): -84.199

***

# Tb5PrY2 (PBE, optimized geometry)
data_Tb5PrY2
_chemical_formula_sum 'Tb20 Pr4 Y8'
_space_group_name_H-M_alt 'C 1 2/c 1'
_space_group_IT_number 15
_cell_length_a 6.6516
_cell_length_b 16.5390
_cell_length_c 9.6037
_cell_angle_alpha 90.00
_cell_angle_beta 96.59
_cell_angle_gamma 90.00
loop_
_space_group_symop_operation_xyz
'x,y,z'
'-x,-y,-z'
'-x,y,-z+1/2'
'x,-y,z+1/2'
'x+1/2,y+1/2,z'
'-x+1/2,-y+1/2,-z'
'-x+1/2,y+1/2,-z+1/2'
'x+1/2,-y+1/2,z+1/2'
loop_
_atom_site_label
_atom_site_fract_x
_atom_site_fract_y
_atom_site_fract_z
Tb1 0.0000 0.1077 0.2500
Tb2 0.1712 0.3522 0.4511
Tb3 0.2137 0.2575 0.8391
Pr1 0.0000 0.4609 0.7500
Y1 0.1576 0.0642 0.9237
# E_form (eV per atom): 0.14
# Volume (A^3/atom): 32.798
# Offset from the most stable computed form (eV per atom): 0.121
# Theoretical density (Mg/m³): 7.0
# E_tot (eV for the cell shown): -159.001

***

# Sm2Y2Sc (PBE, optimized geometry)
data_Sm2Y2Sc
_chemical_formula_sum 'Sm6 Y6 Sc3'
_space_group_name_H-M_alt 'R -3 m'
_space_group_IT_number 166
_space_group_name_Hall '-R 3 2"'
_cell_length_a 5.6105
_cell_length_b 5.6105
_cell_length_c 17.3672
_cell_angle_alpha 90.00
_cell_angle_beta 90.00
_cell_angle_gamma 120.00
loop_
_atom_site_label
_atom_site_fract_x
_atom_site_fract_y
_atom_site_fract_z
Sm1 0.0000 0.0000 0.1072
Y1 0.0000 0.0000 0.3104
Sc1 0.0000 0.0000 0.5000
# E_form (eV per atom): 0.11
# Volume (A^3/atom): 31.562
# Offset from the most stable computed form (eV per atom): 0.029
# Theoretical density (Mg/m³): 5.5
# E_tot (eV for the cell shown): -84.439

***

# KCd2Si (PBE, optimized geometry)
data_KCd2Si
_chemical_formula_sum 'K2 Cd4 Si2'
_space_group_name_H-M_alt 'I -4 m 2'
_space_group_IT_number 119
_space_group_name_Hall 'I -4 -2'
_cell_length_a 5.1466
_cell_length_b 5.1466
_cell_length_c 7.4101
_cell_angle_alpha 90.00
_cell_angle_beta 90.00
_cell_angle_gamma 90.00
loop_
_atom_site_label
_atom_site_fract_x
_atom_site_fract_y
_atom_site_fract_z
K1 0.0000 0.0000 0.0000
Cd1 0.0000 0.0000 0.5000
Cd2 0.0000 0.5000 0.2500
Si1 0.0000 0.5000 0.7500
# Volume (A^3/atom): 24.534
# Raw formation energy (kJ/mol of formula units): 121
# Theoretical density (Mg/m³): 4.9
# E_tot (eV for the cell shown): -14.203

***

# Ho4IrRh2 (PBE, optimized geometry)
data_Ho4IrRh2
_chemical_formula_sum 'Ho12 Ir3 Rh6'
_space_group_name_H-M_alt 'R -3 m'
_space_group_IT_number 166
_space_group_name_Hall '-R 3 2"'
_cell_length_a 4.7900
_cell_length_b 4.7900
_cell_length_c 23.6729
_cell_angle_alpha 90.00
_cell_angle_beta 90.00
_cell_angle_gamma 120.00
loop_
_atom_site_label
_atom_site_fract_x
_atom_site_fract_y
_atom_site_fract_z
Ho1 0.0000 0.0000 0.1247
Ho2 0.0000 0.0000 0.3755
Ir1 0.0000 0.0000 0.0000
Rh1 0.0000 0.0000 0.2502
# E_form (eV per atom): -0.80
# Volume (A^3/atom): 22.400
# Offset from the most stable computed form (eV per atom): 0.000
# Theoretical density (Mg/m³): 11.2
# E_tot (eV for the cell shown): -142.421

***

# La2ZrAu (PBE, optimized geometry)
data_La2ZrAu
_chemical_formula_sum 'La4 Zr2 Au2'
_space_group_name_H-M_alt 'I m m m'
_space_group_IT_number 71
_space_group_name_Hall '-I 2 2'
_cell_length_a 3.7219
_cell_length_b 5.4780
_cell_length_c 10.4984
_cell_angle_alpha 90.00
_cell_angle_beta 90.00
_cell_angle_gamma 90.00
loop_
_atom_site_label
_atom_site_fract_x
_atom_site_fract_y
_atom_site_fract_z
La1 0.0000 0.0000 0.2368
Zr1 0.0000 0.5000 0.0000
Au1 0.0000 0.5000 0.5000
# E_form (eV per atom): -0.09
# Volume (A^3/atom): 26.756
# Offset from the most stable computed form (eV per atom): 0.168
# Theoretical density (Mg/m³): 8.8
# E_tot (eV for the cell shown): -44.110

***

# Tb9DyY2 (PBE, optimized geometry)
data_Tb9DyY2
_chemical_formula_sum 'Tb9 Dy1 Y2'
_space_group_name_H-M_alt 'P 4/m m m'
_space_group_IT_number 123
_space_group_name_Hall '-P 4 2'
_cell_length_a 5.0374
_cell_length_b 5.0374
_cell_length_c 15.1086
_cell_angle_alpha 90.00
_cell_angle_beta 90.00
_cell_angle_gamma 90.00
loop_
_atom_site_label
_atom_site_fract_x
_atom_site_fract_y
_atom_site_fract_z
Tb1 0.0000 0.0000 0.0000
Tb2 0.0000 0.0000 0.3331
Tb3 0.0000 0.5000 0.1660
Tb4 0.0000 0.5000 0.5000
Dy1 0.5000 0.5000 0.0000
Y1 0.5000 0.5000 0.3331
# E_form (eV per atom): 0.02
# Volume (A^3/atom): 31.948
# Offset from the most stable computed form (eV per atom): 0.000
# Theoretical density (Mg/m³): 7.7
# E_tot (eV for the cell shown): -58.962

***

# Ca3Ga2Pd6 (PBE, optimized geometry)
data_Ca3Ga2Pd6
_chemical_formula_sum 'Ca12 Ga8 Pd24'
_space_group_name_H-M_alt 'I m -3 m'
_space_group_IT_number 229
_space_group_name_Hall '-I 4 2 3'
_cell_length_a 9.5811
_cell_length_b 9.5811
_cell_length_c 9.5811
_cell_angle_alpha 90.00
_cell_angle_beta 90.00
_cell_angle_gamma 90.00
loop_
_atom_site_label
_atom_site_fract_x
_atom_site_fract_y
_atom_site_fract_z
Ca1 0.0000 0.0000 0.3016
Ga1 0.2500 0.2500 0.2500
Pd1 0.0000 0.3232 0.3232
# E_form (eV per atom): -0.75
# Volume (A^3/atom): 19.989
# Theoretical density (Mg/m³): 6.8
# E_tot (eV for the cell shown): -205.775